Entry 1:
The following is a PBE calculation of a relaxed structure of Li2PmHg, from Alexandria via LeMat-Bulk.

abc: 3.5541 3.5541 7.0762
angles: 90.00 90.00 90.00
Space group P4/mmm (No. 123)
One atom of each set of equivalent atoms:
1 Li 0.0000 0.0000 0.1903 [2 per cell]
2 Pm 0.5000 0.5000 0.5000 [1 per cell]
3 Hg 0.5000 0.5000 0.0000 [1 per cell]

energy = -9.411 eV per formula unit

---

Entry 2:
The following is a PBE calculation of a relaxed structure of LiPm5Hg4, from Alexandria via LeMat-Bulk.

abc: 3.8374 3.8374 18.7282
angles: 90.00 90.00 90.00
Space group P4/mmm (No. 123)
One atom of each set of equivalent atoms:
1 Li 0.0000 0.0000 0.0000 [1 per cell]
2 Pm 0.5000 0.5000 0.1009 [2 per cell]
3 Pm 0.5000 0.5000 0.2998 [2 per cell]
4 Pm 0.5000 0.5000 0.5000 [1 per cell]
5 Hg 0.0000 0.0000 0.1948 [2 per cell]
6 Hg 0.0000 0.0000 0.3987 [2 per cell]

energy = -30.516 eV per formula unit

---

Entry 3:
The following is a PBE calculation of a relaxed structure of LiPm2Hg, from Alexandria via LeMat-Bulk.

abc: 5.2654 5.2654 3.9147
angles: 90.00 90.00 90.00
Space group P4/mmm (No. 123)
One atom of each set of equivalent atoms:
1 Li 0.0000 0.0000 0.0000 [1 per cell]
2 Pm 0.0000 0.5000 0.5000 [2 per cell]
3 Hg 0.5000 0.5000 0.0000 [1 per cell]

energy = -12.602 eV per formula unit